## one
Li2BN | PBE | optimized geometry

a b c (Å): 2.9429 2.9429 7.6332
angles (deg): 78.89 78.89 90.00
Element x y z (fractional)
B1 0.5000 0.5000 0.0000
B2 0.2500 0.7500 0.5000
Li1 0.6574 0.1250 0.2500
Li2 0.0926 0.6250 0.2500
Li3 0.3750 0.3426 0.7500
Li4 0.8750 0.9074 0.7500
N1 0.0000 0.0000 0.0000
N2 0.7500 0.2500 0.5000

## Properties
Total magnetization, μB/f.u.: 0.00

---

## two
Li2BN | PBE | optimized geometry

a b c (Å): 3.6416 3.6416 3.6416
angles (deg): 60.00 60.00 60.00
Element x y z (fractional)
B1 0.0000 0.0000 0.0000
Li1 0.2500 0.2500 0.2500
Li2 0.7500 0.7500 0.7500
N1 0.5000 0.5000 0.5000

## Properties
Total magnetization, μB/f.u.: 0.00

---

Most stable = two

---

## one
Li2BN2 | PBE | optimized geometry

a b c (Å): 4.0236 5.3740 5.4671
angles (deg): 64.94 68.41 68.02
Each line ends with the local moment (μB).
Element x y z (fractional)
Li1 0.6510 0.3344 0.3636  0.00
Li2 0.3490 0.6656 0.6364  0.00
Li3 0.0035 0.7022 0.2908  0.01
Li4 0.9965 0.2978 0.7092  0.01
B1 0.3806 0.1152 0.1236  -0.02
B2 0.6194 0.8848 0.8764  -0.02
N1 0.2109 0.2745 0.3037  0.46
N2 0.7891 0.7255 0.6963  0.46
N3 0.4926 0.2061 0.8087  0.15
N4 0.5074 0.7939 0.1913  0.15

## Properties
Total magnetization, μB/f.u.: 0.89

---

## two
Li2BN2 | PBE | optimized geometry

a b c (Å): 3.8068 5.9483 5.9891
angles (deg): 124.45 90.01 108.66
Element x y z (fractional)
Li1 0.3476 0.6951 0.4997
Li2 0.6516 0.3030 0.4967
Li3 0.9679 0.9355 0.2500
Li4 0.0312 0.0626 0.7464
B1 0.6879 0.3757 0.1363
B2 0.3113 0.6224 0.8601
N1 0.8252 0.6503 0.3618
N2 0.1740 0.3478 0.6346
N3 0.5377 0.0753 0.9236
N4 0.4615 0.9228 0.0728

## Properties
Total magnetization, μB/f.u.: 0.00

---

Most stable = two

---

## one
LiBTeN2 | PBE | optimized geometry

a b c (Å): 3.5322 3.5322 5.1383
angles (deg): 90.00 90.00 90.00
Each line ends with the local moment (μB).
Element x y z (fractional)
B1 0.5000 0.5000 0.5000  -0.01
Te1 0.0000 0.0000 0.5000  -0.01
Li1 0.0000 0.0000 0.0000  -0.01
N1 0.0000 0.5000 0.0000  0.18
N2 0.5000 0.0000 0.0000  0.18

## Properties
Total magnetization, μB/f.u.: 0.47

---

## two
LiBTeN2 | PBE | optimized geometry

a b c (Å): 3.2585 3.2585 8.0365
angles (deg): 90.00 90.00 90.00
Each line ends with the local moment (μB).
Element x y z (fractional)
B1 0.0000 0.0000 0.0000  -0.02
Te1 0.0000 0.0000 0.5000  0.00
Li1 0.5000 0.5000 0.5000  0.00
N1 0.0000 0.5000 0.0000  0.11
N2 0.5000 0.0000 0.0000  0.11

## Properties
Total magnetization, μB/f.u.: 0.27

---

Most stable = two

---

## one
LiBTe2N | PBE | optimized geometry

a b c (Å): 6.2511 6.2511 2.7503
angles (deg): 90.00 90.00 90.00
Element x y z (fractional)
B1 0.0000 0.0000 0.0000
Te1 0.0000 0.5000 0.0000
Te2 0.5000 0.0000 0.0000
Li1 0.5000 0.5000 0.5000
N1 0.0000 0.0000 0.5000

## Properties
Total magnetization, μB/f.u.: 0.00

---

## two
LiBTe2N | PBE | optimized geometry

a b c (Å): 5.0966 5.0966 3.3725
angles (deg): 90.00 90.00 90.00
Element x y z (fractional)
B1 0.5000 0.5000 0.5000
Te1 0.0000 0.5000 0.0000
Te2 0.5000 0.0000 0.0000
Li1 0.0000 0.0000 0.0000
N1 0.0000 0.0000 0.5000

## Properties
Total magnetization, μB/f.u.: 0.00

---

Most stable = one

---

## one
LiTlB2N | PBE | optimized geometry

a b c (Å): 4.5342 4.5342 4.5382
angles (deg): 90.00 90.00 90.00
Element x y z (fractional)
Tl1 0.0000 0.0000 0.0000
B1 0.0000 0.5000 0.0000
B2 0.5000 0.0000 0.0000
Li1 0.5000 0.5000 0.5000
N1 0.0000 0.0000 0.5000

## Properties
Total magnetization, μB/f.u.: 0.00

---

## two
LiTlB2N | PBE | optimized geometry

a b c (Å): 3.6696 4.0880 3.6696
angles (deg): 90.00 90.00 90.00
Element x y z (fractional)
Tl1 0.5000 0.5000 0.5000
B1 0.0000 0.0000 0.5000
B2 0.5000 0.0000 0.0000
Li1 0.0000 0.5000 0.0000
N1 0.0000 0.0000 0.0000

## Properties
Total magnetization, μB/f.u.: 0.00

---

Most stable = two

---

## one
NaLiB | PBE | optimized geometry

a b c (Å): 4.4691 5.2798 5.2926
angles (deg): 108.35 94.38 93.40
Element x y z (fractional)
Na1 0.9961 0.6899 0.3081
Na2 0.0039 0.3101 0.6919
Li1 0.4452 0.1895 0.1942
Li2 0.5548 0.8105 0.8058
B1 0.0673 0.8906 0.8906
B2 0.9327 0.1094 0.1094

## Properties
Total magnetization, μB/f.u.: 0.00

---

## two
NaLiB | PBE | optimized geometry

a b c (Å): 5.8065 4.1557 9.3336
angles (deg): 90.00 117.24 90.00
Element x y z (fractional)
Na1 0.5346 0.0000 0.2300
Na2 0.5346 0.5000 0.7300
Na3 0.9901 0.0000 0.0114
Na4 0.9901 0.5000 0.5114
Li1 0.7944 0.0000 0.6527
Li2 0.7944 0.5000 0.1527
Li3 0.3035 0.0000 0.8633
Li4 0.3035 0.5000 0.3633
B1 0.0692 0.0000 0.3259
B2 0.0692 0.5000 0.8259
B3 0.3385 0.0000 0.4746
B4 0.3385 0.5000 0.9746

## Properties
Total magnetization, μB/f.u.: 0.00

---

## three
NaLiB | PBE | optimized geometry

a b c (Å): 11.2668 4.3407 4.4792
angles (deg): 90.00 90.00 90.00
Element x y z (fractional)
Na1 0.2094 0.0000 0.3897
Na2 0.7906 0.0000 0.3897
Na3 0.7094 0.5000 0.8897
Na4 0.2906 0.5000 0.8897
Li1 0.0000 0.5000 0.1579
Li2 0.5000 0.0000 0.6579
Li3 0.0000 0.0000 0.7295
Li4 0.5000 0.5000 0.2295
B1 0.5681 0.0000 0.1516
B2 0.4319 0.0000 0.1516
B3 0.0681 0.5000 0.6516
B4 0.9319 0.5000 0.6516

## Properties
Total magnetization, μB/f.u.: 0.00

---

## four
NaLiB | PBE | optimized geometry

a b c (Å): 4.2160 4.2160 18.4348
angles (deg): 90.00 90.00 120.00
Element x y z (fractional)
Na1 0.0000 0.0000 0.7113
Na2 0.0000 0.0000 0.2887
Na3 0.3333 0.6667 0.3779
Na4 0.3333 0.6667 0.9554
Na5 0.6667 0.3333 0.0446
Na6 0.6667 0.3333 0.6221
Li1 0.0000 0.0000 0.8615
Li2 0.0000 0.0000 0.1385
Li3 0.3333 0.6667 0.5282
Li4 0.3333 0.6667 0.8051
Li5 0.6667 0.3333 0.1949
Li6 0.6667 0.3333 0.4718
B1 0.0000 0.0000 0.4584
B2 0.0000 0.0000 0.5416
B3 0.3333 0.6667 0.1250
B4 0.3333 0.6667 0.2083
B5 0.6667 0.3333 0.7917
B6 0.6667 0.3333 0.8750

## Properties
Total magnetization, μB/f.u.: 0.00

---

Most stable = four

---

## one
NaLiB | PBE | optimized geometry

a b c (Å): 4.5588 4.5847 5.2128
angles (deg): 77.65 68.68 79.15
Element x y z (fractional)
Na1 0.0761 0.4871 0.7265
Na2 0.5929 0.9569 0.6851
Li1 0.2582 0.1595 0.2081
Li2 0.6193 0.5327 0.2072
B1 0.8473 0.9872 0.1181
B2 0.0800 0.7133 0.1880

## Properties
Total magnetization, μB/f.u.: 0.00

---

## two
NaLiB | PBE | optimized geometry

a b c (Å): 6.0756 4.5047 7.7958
angles (deg): 90.00 115.07 90.00
Element x y z (fractional)
Na1 0.7575 0.0000 0.0108
Na2 0.7575 0.5000 0.5108
Na3 0.0337 0.0000 0.4355
Na4 0.0337 0.5000 0.9355
Li1 0.2540 0.0000 0.8411
Li2 0.2540 0.5000 0.3411
Li3 0.5069 0.0000 0.2602
Li4 0.5069 0.5000 0.7602
B1 0.5173 0.0000 0.5981
B2 0.5173 0.5000 0.0981
B3 0.7975 0.0000 0.6907
B4 0.7975 0.5000 0.1907

## Properties
Total magnetization, μB/f.u.: 0.00

---

Most stable = one

---

## one
Na2LiB2 | PBE | optimized geometry

a b c (Å): 6.1852 6.1852 4.4024
angles (deg): 90.00 90.00 90.00
Element x y z (fractional)
Na1 0.1788 0.6788 0.5000
Na2 0.6788 0.8212 0.5000
Na3 0.8212 0.3212 0.5000
Na4 0.3212 0.1788 0.5000
B1 0.4106 0.9106 0.0000
B2 0.9106 0.5894 0.0000
B3 0.5894 0.0894 0.0000
B4 0.0894 0.4106 0.0000
Li1 0.0000 0.0000 0.0000
Li2 0.5000 0.5000 0.0000

## Properties
Total magnetization, μB/f.u.: 0.00

---

## two
Na2LiB2 | PBE | optimized geometry

a b c (Å): 5.2085 5.2085 4.8688
angles (deg): 57.66 57.66 90.00
Element x y z (fractional)
Na1 0.7500 0.2500 0.5000
Na2 0.2500 0.7500 0.5000
B1 0.3773 0.3773 0.2453
B2 0.6227 0.6227 0.7547
Li1 0.0000 0.0000 0.0000

## Properties
Total magnetization, μB/f.u.: 0.00

---

Most stable = two